First-principles (GGA-PBE) data for crystalline Ca2ZrPb2 at its relaxed geometry, as listed in the Alexandria database.

Cell lengths 9.204, 9.204, 3.409 Å; angles 90.00, 90.00, 90.00 degrees
Element x y z (fractional)
Ca (0.123, 0.377, 0.000)
Ca (0.377, 0.877, 0.000)
Ca (0.623, 0.123, 0.000)
Ca (0.877, 0.623, 0.000)
Zr (0.000, 0.000, 0.000)
Zr (0.500, 0.500, 0.000)
Pb (0.177, 0.677, 0.500)
Pb (0.323, 0.177, 0.500)
Pb (0.677, 0.823, 0.500)
Pb (0.823, 0.323, 0.500)

Output
Crystal system: tetragonal
Energy above the most stable polymorph in this dataset, meV per atom: 169
Total magnetic moment, Bohr magnetons per cell: 2.00
Energy of formation from the pure elements, eV per atom: -0.004
Total energy, eV per atom: -3.997

First-principles (GGA-PBE) data for crystalline CaZr3Pb at its relaxed geometry, as listed in the Alexandria database.

Cell lengths 5.127, 5.127, 5.127 Å; angles 90.00, 90.00, 90.00 degrees
Element x y z (fractional)
Ca (0.000, 0.000, 0.000)
Zr (0.000, 0.000, 0.500)
Zr (0.000, 0.500, 0.000)
Zr (0.500, 0.000, 0.000)
Pb (0.500, 0.500, 0.500)

Output
Crystal system: cubic
Energy above the most stable polymorph in this dataset, meV per atom: 564
Total magnetic moment, Bohr magnetons per cell: 2.03
Energy of formation from the pure elements, eV per atom: 1.427
Total energy, eV per atom: -4.844

First-principles (GGA-PBE) data for crystalline CaZrPb2 at its relaxed geometry, as listed in the Alexandria database.

Cell lengths 3.326, 3.326, 10.646 Å; angles 90.00, 90.00, 90.00 degrees
Element x y z (fractional)
Ca (0.000, 0.000, 0.000)
Zr (0.500, 0.500, 0.750)
Pb (0.000, 0.000, 0.539)
Pb (0.500, 0.500, 0.250)

Output
Crystal system: tetragonal
Total magnetic moment, Bohr magnetons per cell: 0.00
Energy of formation from the pure elements, eV per atom: 0.098
Total energy, eV per atom: -4.394